1.
VASP calculation (GGA-PBE) on RbZrMnSe4 after structural relaxation.

Its formation energy from raw total energies is -942 meV/atom. The total magnetization is 4.0 μB/f.u. The calculation puts the calculated total energy at -5.60 eV per atom.

Unit cell a=6.5069 b=6.6037 c=9.5520 alpha=90.00 beta=107.56 gamma=90.00
Last column: nearest neighbours and their distance in Å.
Space group P2_1/m (No. 11)
One atom of each set of equivalent atoms:
Rb: 0.2119 0.2500 0.4582  6 Se 3.36-3.67
Zr: 0.3168 0.7500 0.0520  6 Se 2.73-2.84
Mn: 0.1116 0.2500 0.8451  4 Se 2.35-2.40
Se: 0.1151 0.2500 0.0918  1 Mn 2.35
Se: 0.2449 0.7500 0.3206  1 Mn 2.38
Se: 0.3503 0.5109 0.8132  1 Mn 2.40



2.
VASP calculation (GGA-PBE) on Rb2ZrMnSe4 after structural relaxation.

Its formation energy from raw total energies is -1113 meV/atom. The total magnetization is 5.0 μB/f.u. The calculation puts the calculated total energy at -5.31 eV per atom.

Unit cell a=6.2635 b=14.4467 c=25.2864 alpha=90.00 beta=90.00 gamma=90.00
Last column: nearest neighbours and their distance in Å.
Space group Fddd (No. 70, origin choice 2)
One atom of each set of equivalent atoms:
Rb: 0.1250 0.1250 0.3043  8 Se 3.81-3.84
Zr: 0.1250 0.1250 0.1250  4 Se 2.55
Mn: 0.1250 0.1250 0.6250  4 Se 2.54
Se: 0.1241 0.2747 0.8202  1 Mn 2.54, 1 Zr 2.55